Computed, not measured: a relaxed structure of PmCrIO4 at the GGA+U level of DFT.

**Space group**: C2/m, No. 12
**Final energy**: -6.639 eV/atom

```
data_PmCrIO4
_chemical_formula_sum 'Pm2 Cr2 I2 O8'
_cell_length_a 6.681
_cell_length_b 6.681
_cell_length_c 6.728
_cell_angle_alpha 99.87
_cell_angle_beta 99.87
_cell_angle_gamma 63.94
_symmetry_space_group_name_H-M 'P 1'
_symmetry_Int_Tables_number 1
_symmetry_space_group_name_Hall 'P 1'
loop_
_atom_site_label
_atom_site_type_symbol
_atom_site_fract_x
_atom_site_fract_y
_atom_site_fract_z
Pm1 Pm 0.232 0.232 0.358
Pm2 Pm 0.768 0.768 0.642
Cr1 Cr 0.133 0.133 0.766
Cr2 Cr 0.867 0.867 0.234
I1 I 0.487 0.487 0.754
I2 I 0.513 0.513 0.246
O1 O 0.001 0.629 0.363
O2 O 0.017 0.017 0.271
O3 O 0.203 0.203 0.009
O4 O 0.371 0.999 0.637
O5 O 0.629 0.001 0.363
O6 O 0.797 0.797 0.991
O7 O 0.983 0.983 0.729
O8 O 0.999 0.371 0.637
```